An optimized crystal structure of HfPa2, computed with PBE.

Structure (POSCAR):
```
HfPa2
1.0
-1.911 0.726 -2.413
-3.087 0.433 0.536
-0.097 8.374 0.792
Hf Pa
1 2
Direct
0.000 0.000 0.000
0.264 0.264 0.331
0.736 0.736 0.669
```

Calculated values
energy relative to the elements	0.704	kcal/mol of atoms

---

An optimized crystal structure of NaHo2Al, computed with PBE.

Structure (POSCAR):
```
NaHo2Al
1.0
3.511 0.000 0.000
0.000 3.511 0.000
0.000 0.000 9.146
Na Ho Al
1 2 1
Direct
0.500 0.500 0.500
0.000 0.000 0.801
0.000 0.000 0.199
0.500 0.500 0.000
```

Calculated values
energy relative to the elements	-1.469	kcal/mol of atoms

---

An optimized crystal structure of Sr2TcBi, computed with PBE.

Structure (POSCAR):
```
Sr2TcBi
1.0
-6.310 -9.099 -1.931
8.564 -4.772 -5.498
1.979 -8.005 -1.459
Sr Bi Tc
4 2 2
Direct
0.452 0.125 0.250
0.298 0.625 0.250
0.375 0.548 0.750
0.875 0.702 0.750
0.000 0.000 0.000
0.750 0.250 0.500
0.500 0.500 0.000
0.250 0.750 0.500
```

Calculated values
energy relative to the elements	6.942	kcal/mol of atoms

---

An optimized crystal structure of AgPt3Rh, computed with PBE.

Structure (POSCAR):
```
AgPt3Rh
1.0
4.824 0.000 0.000
0.000 4.824 0.000
0.000 0.000 4.824
Rh Ag Pt
1 1 3
Direct
0.000 0.000 0.000
0.500 0.500 0.500
0.000 0.500 0.000
0.000 0.000 0.500
0.500 0.000 0.000
```

Calculated values
energy relative to the elements	29.291	kcal/mol of atoms

---

An optimized crystal structure of Li2FeRh, computed with PBE.

Structure (POSCAR):
```
Li2FeRh
1.0
2.586 0.024 0.000
-1.165 2.308 0.000
0.000 0.000 8.957
Fe Li Rh
1 2 1
Direct
0.500 0.500 0.750
0.000 0.000 0.008
0.000 0.000 0.492
0.500 0.500 0.250
```

Calculated values
energy relative to the elements	1.624	kcal/mol of atoms

---

An optimized crystal structure of Nd4AgAu2, computed with PBE.

Structure (POSCAR):
```
Nd4AgAu2
1.0
5.023 0.000 0.000
2.512 4.350 0.000
2.512 1.450 9.628
Nd Ag Au
4 1 2
Direct
0.705 0.705 0.885
0.880 0.880 0.361
0.295 0.295 0.115
0.120 0.120 0.639
0.500 0.500 0.500
0.599 0.599 0.203
0.401 0.401 0.797
```

Calculated values
energy relative to the elements	-8.578	kcal/mol of atoms

---

An optimized crystal structure of BiSeN, computed with PBE.

Structure (POSCAR):
```
BiSeN
1.0
-2.149 -3.497 2.422
3.409 -5.163 -4.429
8.891 -0.179 7.631
Se N Bi
4 4 4
Direct
0.250 0.630 0.613
0.750 0.870 0.387
0.750 0.370 0.387
0.250 0.130 0.613
0.410 0.029 0.024
0.910 0.471 0.976
0.590 0.971 0.976
0.090 0.529 0.024
0.250 0.619 0.370
0.750 0.881 0.630
0.750 0.381 0.630
0.250 0.119 0.370
```

Calculated values
formation energy without anion corrections	-0.2	eV per formula unit

---

An optimized crystal structure of TbPd8Au6, computed with PBE.

Structure (POSCAR):
```
TbPd8Au6
1.0
5.274 0.000 0.000
0.000 6.662 -3.846
0.000 0.000 7.692
Tb Pd Au
1 8 6
Direct
0.500 0.000 0.000
0.834 0.048 0.293
0.834 0.707 0.754
0.834 0.246 0.952
0.166 0.952 0.707
0.166 0.293 0.246
0.166 0.754 0.048
0.759 0.333 0.667
0.241 0.667 0.333
0.677 0.654 0.100
0.677 0.900 0.553
0.677 0.447 0.346
0.323 0.346 0.900
0.323 0.100 0.447
0.323 0.553 0.654
```

Calculated values
energy relative to the elements	-2.843	kcal/mol of atoms

---

Looking at raw total energy for the records above, in order, we have -9.618; -3.618; -4.102; -4.395; -4.840; -4.440; -5.289; -4.512 eV/atom.